First-principles (GGA-PBE) data for an optimized crystal structure of PrGd3Rh, as listed in Alexandria via LeMat-Bulk.

Structure (POSCAR):
```
PrGd3Rh
1.0
5.480 0.000 0.000
0.000 5.480 0.000
0.000 0.000 5.480
Pr Gd Rh
1 3 1
direct
0.500 0.500 0.500
0.000 0.500 0.000
0.000 0.000 0.500
0.500 0.000 0.000
0.000 0.000 0.000
```

Calculated values
Space group: Pm-3m, No. 221
Energy, eV/atom: -11.12
Crystal system: cubic



First-principles (GGA-PBE) data for an optimized crystal structure of PrGdRh2, as listed in Alexandria via LeMat-Bulk.

Structure (POSCAR):
```
PrGdRh2
1.0
-2.696 2.073 -3.628
-2.603 -2.872 -3.115
-4.966 -0.067 0.243
Pr Gd Rh
1 1 2
direct
0.000 0.000 0.000
0.500 0.500 0.500
0.250 0.250 0.250
0.750 0.750 0.750
```

Calculated values
Space group: Fm-3m, No. 225
Energy, eV/atom: -9.07
Crystal system: cubic



First-principles (GGA-PBE) data for an optimized crystal structure of Pr3GdRh, as listed in Alexandria via LeMat-Bulk.

Structure (POSCAR):
```
Pr3GdRh
1.0
-2.921 -2.898 -3.830
2.042 -4.806 2.080
-4.347 -0.310 3.550
Pr Gd Rh
3 1 1
direct
0.000 0.500 0.000
0.000 0.000 0.500
0.500 0.000 0.000
0.500 0.500 0.500
0.000 0.000 0.000
```

Calculated values
Space group: Pm-3m, No. 221
Energy, eV/atom: -7.28
Crystal system: cubic